# 1
This record from Alexandria describes a relaxed structure of Hg2AsCl. The functional is GGA-PBEsol.

Geometry as POSCAR:
```
Hg2AsCl
1.0
1.5598 -2.7780 0.0000
1.5598 2.7780 0.0000
0.0000 0.0000 9.9845
Hg As Cl
2 1 1
Direct
0.0000 0.0000 0.0000
0.5000 0.5000 0.2716
0.0000 0.0000 0.5248
0.5000 0.5000 0.7259
```

ρ, Mg/m³: 9.82
Energy above the most stable polymorph in this dataset, eV per atom: 0.250
SG: Cmm2, No. 35
Energy relative to the elements, uncorrected, eV/atom: 0.09
Density of states at the Fermi level, states/eV per cell: 1.3
Energy, eV per atom: -1.9676



# 2
This record from Alexandria describes a relaxed structure of HgAs2Cl. The functional is GGA-PBEsol.

Geometry as POSCAR:
```
HgAs2Cl
1.0
-2.0122 2.0122 10.8840
2.0122 -2.0122 10.8840
2.0122 2.0122 -10.8840
Hg As Cl
2 4 2
Direct
0.0000 0.0000 0.0000
0.7500 0.2500 0.5000
0.0615 0.6250 0.9365
0.3750 0.3115 0.4365
0.6885 0.1250 0.0635
0.8750 0.9385 0.5635
0.2500 0.7500 0.5000
0.5000 0.5000 0.0000
```

ρ, Mg/m³: 7.27
Energy above the most stable polymorph in this dataset, eV per atom: 0.000
SG: I-42d, No. 122
Energy relative to the elements, uncorrected, eV/atom: 0.06
Density of states at the Fermi level, states/eV per cell: 3.1
Energy, eV per atom: -3.1365



# 3
This record from Alexandria describes a relaxed structure of Hg2AsIrCl. The functional is GGA-PBEsol.

Geometry as POSCAR:
```
Hg2AsIrCl
1.0
5.2505 0.0000 0.0000
0.0000 5.2505 0.0000
0.0000 0.0000 4.5565
Hg As Ir Cl
2 1 1 1
Direct
0.0000 0.5000 0.0000
0.5000 0.0000 0.0000
0.0000 0.0000 0.0000
0.0000 0.0000 0.5000
0.5000 0.5000 0.5000
```

ρ, Mg/m³: 9.30
SG: P4/mmm, No. 123
Energy relative to the elements, uncorrected, eV/atom: 0.60
Density of states at the Fermi level, states/eV per cell: 4.9
Energy, eV per atom: -3.0118



# 4
This record from Alexandria describes a relaxed structure of Hg6MoAs4Cl7. The functional is GGA-PBEsol.

Geometry as POSCAR:
```
Hg6MoAs4Cl7
1.0
12.1036 0.0000 0.0000
0.0000 12.1036 0.0000
0.0000 0.0000 12.1036
Hg Mo As Cl
24 4 16 28
Direct
0.0500 0.1808 0.7014
0.0500 0.3192 0.2014
0.1808 0.7014 0.0500
0.1808 0.7986 0.5500
0.2014 0.0500 0.3192
0.2014 0.4500 0.8192
0.2986 0.5500 0.3192
0.2986 0.9500 0.8192
0.3192 0.2014 0.0500
0.3192 0.2986 0.5500
0.4500 0.6808 0.7014
0.4500 0.8192 0.2014
0.5500 0.1808 0.7986
0.5500 0.3192 0.2986
0.6808 0.7014 0.4500
0.6808 0.7986 0.9500
0.7014 0.0500 0.1808
0.7014 0.4500 0.6808
0.7986 0.5500 0.1808
0.7986 0.9500 0.6808
0.8192 0.2014 0.4500
0.8192 0.2986 0.9500
0.9500 0.6808 0.7986
0.9500 0.8192 0.2986
0.0000 0.0000 0.0000
0.0000 0.5000 0.5000
0.5000 0.0000 0.5000
0.5000 0.5000 0.0000
0.1469 0.6469 0.8531
0.1469 0.8531 0.3531
0.2368 0.2368 0.2368
0.2368 0.2632 0.7368
0.2632 0.7368 0.2368
0.2632 0.7632 0.7368
0.3531 0.1469 0.8531
0.3531 0.3531 0.3531
0.6469 0.6469 0.6469
0.6469 0.8531 0.1469
0.7368 0.2368 0.2632
0.7368 0.2632 0.7632
0.7632 0.7368 0.2632
0.7632 0.7632 0.7632
0.8531 0.1469 0.6469
0.8531 0.3531 0.1469
0.0000 0.0000 0.5000
0.0000 0.5000 0.0000
0.0392 0.5464 0.3099
0.0392 0.9536 0.8099
0.0464 0.1901 0.9608
0.0464 0.3099 0.4608
0.1901 0.5392 0.5464
0.1901 0.9608 0.0464
0.3099 0.0392 0.5464
0.3099 0.4608 0.0464
0.4536 0.6901 0.9608
0.4536 0.8099 0.4608
0.4608 0.0464 0.3099
0.4608 0.4536 0.8099
0.5000 0.0000 0.0000
0.5000 0.5000 0.5000
0.5392 0.5464 0.1901
0.5392 0.9536 0.6901
0.5464 0.1901 0.5392
0.5464 0.3099 0.0392
0.6901 0.5392 0.9536
0.6901 0.9608 0.4536
0.8099 0.0392 0.9536
0.8099 0.4608 0.4536
0.9536 0.6901 0.5392
0.9536 0.8099 0.0392
0.9608 0.0464 0.1901
0.9608 0.4536 0.6901
```

ρ, Mg/m³: 6.92
SG: Pa-3, No. 205
Energy relative to the elements, uncorrected, eV/atom: -0.44
Density of states at the Fermi level, states/eV per cell: 5.3
Energy, eV per atom: -3.1956



# 5
This record from Alexandria describes a relaxed structure of Hg3AsClO4. The functional is GGA-PBEsol.

Geometry as POSCAR:
```
Hg3AsClO4
1.0
8.4617 0.0000 0.0000
0.0000 8.4617 0.0000
0.0000 0.0000 8.4617
Hg As Cl O
12 4 4 16
Direct
0.0508 0.3994 0.3526
0.1006 0.6474 0.5508
0.1474 0.9492 0.8994
0.3526 0.0508 0.3994
0.3994 0.3526 0.0508
0.4492 0.6006 0.8526
0.5508 0.1006 0.6474
0.6006 0.8526 0.4492
0.6474 0.5508 0.1006
0.8526 0.4492 0.6006
0.8994 0.1474 0.9492
0.9492 0.8994 0.1474
0.0214 0.5214 0.9786
0.4786 0.4786 0.4786
0.5214 0.9786 0.0214
0.9786 0.0214 0.5214
0.2298 0.7702 0.2702
0.2702 0.2298 0.7702
0.7298 0.7298 0.7298
0.7702 0.2702 0.2298
0.1001 0.1290 0.3961
0.1039 0.8999 0.6290
0.1290 0.3961 0.1001
0.1372 0.6372 0.8628
0.3628 0.3628 0.3628
0.3710 0.6039 0.6001
0.3961 0.1001 0.1290
0.3999 0.8710 0.8961
0.6001 0.3710 0.6039
0.6039 0.6001 0.3710
0.6290 0.1039 0.8999
0.6372 0.8628 0.1372
0.8628 0.1372 0.6372
0.8710 0.8961 0.3999
0.8961 0.3999 0.8710
0.8999 0.6290 0.1039
```

ρ, Mg/m³: 8.51
SG: P2_13, No. 198
Energy relative to the elements, uncorrected, eV/atom: -0.73
Density of states at the Fermi level, states/eV per cell: 0.0
Energy, eV per atom: -4.0375



# 6
This record from Alexandria describes a relaxed structure of HgAsS2Cl. The functional is GGA-PBEsol.

Geometry as POSCAR:
```
HgAsS2Cl
1.0
4.9262 0.0000 0.0000
0.0000 4.9262 0.0000
0.0000 0.0000 4.8933
Hg As S Cl
1 1 2 1
Direct
0.0000 0.0000 0.0000
0.5000 0.5000 0.5000
0.0000 0.5000 0.0000
0.5000 0.0000 0.0000
0.0000 0.0000 0.5000
```

ρ, Mg/m³: 5.25
SG: P4/mmm, No. 123
Energy relative to the elements, uncorrected, eV/atom: 0.78
Density of states at the Fermi level, states/eV per cell: 3.5
Energy, eV per atom: -2.5057



# 7
This record from Alexandria describes a relaxed structure of HgAsSCl2. The functional is GGA-PBEsol.

Geometry as POSCAR:
```
HgAsSCl2
1.0
4.8272 0.0000 0.0000
0.0000 4.8272 0.0000
0.0000 0.0000 4.9733
Hg As S Cl
1 1 1 2
Direct
0.0000 0.0000 0.0000
0.5000 0.5000 0.5000
0.5000 0.5000 0.0000
0.0000 0.5000 0.5000
0.5000 0.0000 0.5000
```

ρ, Mg/m³: 5.42
SG: P4/mmm, No. 123
Energy relative to the elements, uncorrected, eV/atom: -0.04
Density of states at the Fermi level, states/eV per cell: 2.5
Energy, eV per atom: -2.8592



# 8
This record from Alexandria describes a relaxed structure of Hg3AsS4Cl. The functional is GGA-PBEsol.

Geometry as POSCAR:
```
Hg3AsS4Cl
1.0
7.4462 0.0000 0.0000
-3.7231 6.4486 0.0000
0.0000 0.0000 8.8820
Hg As S Cl
6 2 8 2
Direct
0.0066 0.5033 0.0000
0.4967 0.5033 0.0000
0.4967 0.9934 0.0000
0.5033 0.0066 0.5000
0.5033 0.4967 0.5000
0.9934 0.4967 0.5000
0.0000 0.0000 0.0216
0.0000 0.0000 0.5216
0.1487 0.2974 0.3804
0.1487 0.8513 0.3804
0.2974 0.1487 0.8804
0.3333 0.6667 0.1426
0.6667 0.3333 0.6426
0.7026 0.8513 0.3804
0.8513 0.1487 0.8804
0.8513 0.7026 0.8804
0.3333 0.6667 0.7149
0.6667 0.3333 0.2149
```

ρ, Mg/m³: 6.54
SG: P6_3mc, No. 186
Energy relative to the elements, uncorrected, eV/atom: -0.25
Energy, eV per atom: -3.1738



# 9
This record from Alexandria describes a relaxed structure of TiHg6As4Cl7. The functional is GGA-PBEsol.

Geometry as POSCAR:
```
TiHg6As4Cl7
1.0
12.1633 0.0000 0.0000
0.0000 12.1633 0.0000
0.0000 0.0000 12.1633
Ti Hg As Cl
4 24 16 28
Direct
0.0000 0.0000 0.0000
0.0000 0.5000 0.5000
0.5000 0.0000 0.5000
0.5000 0.5000 0.0000
0.0514 0.1821 0.6968
0.0514 0.3179 0.1968
0.1821 0.6968 0.0514
0.1821 0.8032 0.5514
0.1968 0.0514 0.3179
0.1968 0.4486 0.8179
0.3032 0.5514 0.3179
0.3032 0.9486 0.8179
0.3179 0.1968 0.0514
0.3179 0.3032 0.5514
0.4486 0.6821 0.6968
0.4486 0.8179 0.1968
0.5514 0.1821 0.8032
0.5514 0.3179 0.3032
0.6821 0.6968 0.4486
0.6821 0.8032 0.9486
0.6968 0.0514 0.1821
0.6968 0.4486 0.6821
0.8032 0.5514 0.1821
0.8032 0.9486 0.6821
0.8179 0.1968 0.4486
0.8179 0.3032 0.9486
0.9486 0.6821 0.8032
0.9486 0.8179 0.3032
0.1455 0.6455 0.8545
0.1455 0.8545 0.3545
0.2377 0.2377 0.2377
0.2377 0.2623 0.7377
0.2623 0.7377 0.2377
0.2623 0.7623 0.7377
0.3545 0.1455 0.8545
0.3545 0.3545 0.3545
0.6455 0.6455 0.6455
0.6455 0.8545 0.1455
0.7377 0.2377 0.2623
0.7377 0.2623 0.7623
0.7623 0.7377 0.2623
0.7623 0.7623 0.7623
0.8545 0.1455 0.6455
0.8545 0.3545 0.1455
0.0000 0.0000 0.5000
0.0000 0.5000 0.0000
0.0385 0.5470 0.3144
0.0385 0.9530 0.8144
0.0470 0.1856 0.9615
0.0470 0.3144 0.4615
0.1856 0.5385 0.5470
0.1856 0.9615 0.0470
0.3144 0.0385 0.5470
0.3144 0.4615 0.0470
0.4530 0.6856 0.9615
0.4530 0.8144 0.4615
0.4615 0.0470 0.3144
0.4615 0.4530 0.8144
0.5000 0.0000 0.0000
0.5000 0.5000 0.5000
0.5385 0.5470 0.1856
0.5385 0.9530 0.6856
0.5470 0.1856 0.5385
0.5470 0.3144 0.0385
0.6856 0.5385 0.9530
0.6856 0.9615 0.4530
0.8144 0.0385 0.9530
0.8144 0.4615 0.4530
0.9530 0.6856 0.5385
0.9530 0.8144 0.0385
0.9615 0.0470 0.1856
0.9615 0.4530 0.6856
```

ρ, Mg/m³: 6.64
SG: Pa-3, No. 205
Energy relative to the elements, uncorrected, eV/atom: -0.61
Density of states at the Fermi level, states/eV per cell: 24.5
Energy, eV per atom: -3.1731



# 10
This record from Alexandria describes a relaxed structure of TlHg3As2Cl3. The functional is GGA-PBEsol.

Geometry as POSCAR:
```
TlHg3As2Cl3
1.0
6.1939 0.0000 0.0000
0.0000 12.3352 0.0000
0.0000 0.0000 12.2656
Tl Hg As Cl
4 12 8 12
Direct
0.0195 0.2496 0.2500
0.0195 0.2504 0.7500
0.9805 0.7496 0.2500
0.9805 0.7504 0.7500
0.0000 0.0000 0.0000
0.0000 0.0000 0.5000
0.0000 0.5000 0.0000
0.0000 0.5000 0.5000
0.4564 0.0177 0.2500
0.4564 0.4823 0.7500
0.4614 0.2500 0.0000
0.4614 0.2500 0.5000
0.5386 0.7500 0.0000
0.5386 0.7500 0.5000
0.5436 0.5177 0.2500
0.5436 0.9823 0.7500
0.3783 0.0561 0.0516
0.3783 0.0561 0.4484
0.3783 0.4439 0.5516
0.3783 0.4439 0.9484
0.6217 0.5561 0.0516
0.6217 0.5561 0.4484
0.6217 0.9439 0.5516
0.6217 0.9439 0.9484
0.0944 0.7500 0.0000
0.0944 0.7500 0.5000
0.0990 0.9997 0.7500
0.0990 0.5003 0.2500
0.4559 0.7069 0.7500
0.4559 0.7931 0.2500
0.5441 0.2069 0.7500
0.5441 0.2931 0.2500
0.9010 0.0003 0.2500
0.9010 0.4997 0.7500
0.9056 0.2500 0.0000
0.9056 0.2500 0.5000
```

ρ, Mg/m³: 7.53
SG: Pbcm, No. 57
Energy relative to the elements, uncorrected, eV/atom: -0.46
Energy, eV per atom: -2.7442



# 11
This record from Alexandria describes a relaxed structure of AsI3Cl. The functional is GGA-PBEsol.

Geometry as POSCAR:
```
AsI3Cl
1.0
5.5920 0.0000 0.0000
0.0000 5.5920 0.0000
0.0000 0.0000 5.5920
As I Cl
1 3 1
Direct
0.0000 0.0000 0.0000
0.0000 0.5000 0.5000
0.5000 0.0000 0.5000
0.5000 0.5000 0.0000
0.5000 0.5000 0.5000
```

ρ, Mg/m³: 4.66
SG: Pm-3m, No. 221
Energy relative to the elements, uncorrected, eV/atom: 0.82
Density of states at the Fermi level, states/eV per cell: 6.7
Energy, eV per atom: -1.6654



# 12
This record from Alexandria describes a relaxed structure of AsI2NCl. The functional is GGA-PBEsol.

Geometry as POSCAR:
```
AsI2NCl
1.0
6.5362 0.0000 0.0000
0.0000 6.5362 0.0000
0.0000 0.0000 3.2179
As I N Cl
1 2 1 1
Direct
0.0000 0.0000 0.0000
0.0000 0.5000 0.5000
0.5000 0.0000 0.5000
0.5000 0.5000 0.0000
0.5000 0.5000 0.5000
```

ρ, Mg/m³: 4.57
Energy above the most stable polymorph in this dataset, eV per atom: 0.601
SG: P4/mmm, No. 123
Energy relative to the elements, uncorrected, eV/atom: 1.29
Density of states at the Fermi level, states/eV per cell: 3.3
Energy, eV per atom: -2.5402



Question: The lowest ρ belongs to which entry?
Answer: AsI2NCl